No. 1
# Ga2Tc2Ge meta-GGA SCAN PBEsol geometry
data_Ga2Tc2Ge
_cell_length_a 6.551
_cell_length_b 6.551
_cell_length_c 3.484
_cell_angle_alpha 90.00
_cell_angle_beta 90.00
_cell_angle_gamma 90.00
_symmetry_space_group_name_H-M 'P 4/m b m'
_symmetry_Int_Tables_number 127
_symmetry_space_group_name_Hall '-P 4 2ab'
loop_
_atom_site_label
_atom_site_type_symbol
_atom_site_fract_x
_atom_site_fract_y
_atom_site_fract_z
Ga1 Ga 0.144 0.356 0.000
Tc1 Tc 0.157 0.657 0.500
Ge1 Ge 0.000 0.000 0.500
# - Volume: 75 Å³/f.u.
# - Energy of formation: -0.9 eV/f.u.
# - M_tot: 0.0 μB per formula unit

No. 2
# Ni2AsPb meta-GGA SCAN PBEsol geometry
data_Ni2AsPb
_cell_length_a 3.709
_cell_length_b 3.709
_cell_length_c 9.053
_cell_angle_alpha 90.00
_cell_angle_beta 90.00
_cell_angle_gamma 90.00
_symmetry_space_group_name_H-M 'I -4 m 2'
_symmetry_Int_Tables_number 119
_symmetry_space_group_name_Hall 'I -4 -2'
loop_
_atom_site_label
_atom_site_type_symbol
_atom_site_fract_x
_atom_site_fract_y
_atom_site_fract_z
Ni1 Ni 0.000 0.000 0.000
Ni2 Ni 0.000 0.500 0.250
As1 As 0.000 0.500 0.750
Pb1 Pb 0.000 0.000 0.500
# - Volume: 62 Å³/f.u.
# - Energy of formation: 1.4 eV/f.u.
# - M_tot: 0.0 μB per formula unit